1.
First-principles (PBE) data for crystalline LiYZrOs at its relaxed geometry, as listed in the Alexandria database.

ΔE_f ... -88 kJ/mol of formula units
DOS(E_F) ... 3.6 states/eV/f.u.
Space group ... F-43m, No. 216

Cell lengths 6.766, 6.766, 6.766 Å; angles 90.00, 90.00, 90.00 degrees
Fractional coordinates of all 16 atoms:
1 Li 0.000 0.000 0.000
2 Li 0.000 0.500 0.500
3 Li 0.500 0.000 0.500
4 Li 0.500 0.500 0.000
5 Y 0.250 0.250 0.750
6 Y 0.250 0.750 0.250
7 Y 0.750 0.250 0.250
8 Y 0.750 0.750 0.750
9 Zr 0.250 0.250 0.250
10 Zr 0.250 0.750 0.750
11 Zr 0.750 0.250 0.750
12 Zr 0.750 0.750 0.250
13 Os 0.000 0.000 0.500
14 Os 0.000 0.500 0.000
15 Os 0.500 0.000 0.000
16 Os 0.500 0.500 0.500

2.
First-principles (PBE) data for crystalline TbTm4Sc5 at its relaxed geometry, as listed in the Alexandria database.

ΔE to the lowest computed polymorph ... 38 meV/atom
ΔE_f ... 291 kJ/mol of formula units
DOS(E_F) ... 15.5 states/eV/f.u.
Space group ... I4, No. 79

Cell lengths 7.470, 7.470, 7.470 Å; angles 99.35, 99.35, 132.45 degrees
Fractional coordinates of all 10 atoms:
1 Tb 0.000 0.000 0.000
2 Tm 0.120 0.826 0.393
3 Tm 0.433 0.728 0.607
4 Tm 0.728 0.120 0.294
5 Tm 0.826 0.433 0.706
6 Sc 0.054 0.141 0.628
7 Sc 0.141 0.513 0.087
8 Sc 0.426 0.054 0.913
9 Sc 0.513 0.426 0.372
10 Sc 0.540 0.540 0.000

3.
First-principles (PBE) data for crystalline BaAgAsBr2 at its relaxed geometry, as listed in the Alexandria database.

ΔE to the lowest computed polymorph ... 474 meV/atom
DOS(E_F) ... 2.9 states/eV/f.u.
Space group ... P4/mmm, No. 123

Cell lengths 6.225, 6.225, 6.625 Å; angles 90.00, 90.00, 90.00 degrees
Fractional coordinates of all 5 atoms:
1 Ba 0.000 0.000 0.000
2 Ag 0.500 0.500 0.500
3 As 0.000 0.000 0.500
4 Br 0.000 0.500 0.000
5 Br 0.500 0.000 0.000